[1]
VASP calculation (GGA-PBE) on CsKTlSb after structural relaxation.

a = 5.6104 Å, b = 4.7231 Å, c = 7.5574 Å
α = 90.00°, β = 111.79°, γ = 90.00°
Last column: nearest neighbours and their distance in Å.
Fractional positions:
Tl 0.3314 0.0000 0.6627  2 Sb 3.02
Sb 0.4651 0.5000 0.9302  2 Tl 3.02
K 0.0313 0.0000 0.0625  4 Sb 3.78, 3 Tl 3.97-4.21
Cs 0.7419 0.5000 0.4838  4 Tl 3.88, 3 Sb 3.89-4.20

## Properties
The uncorrected formation energy is -0.32 eV per atom. The theoretical density comes out at 4.45 g/cm3. The calculation puts the uncorrected energy at -9.72 eV per formula unit.

=====

[2]
VASP calculation (GGA-PBE) on LaCeHg2 after structural relaxation.

a = 3.8661 Å, b = 3.8661 Å, c = 7.7655 Å
α = 90.00°, β = 90.00°, γ = 90.00°
Last column: nearest neighbours and their distance in Å.
Fractional positions:
Hg 0.0000 0.0000 0.7583  4 Ce 3.32, 4 La 3.39
Hg 0.0000 0.0000 0.2417  4 Ce 3.32, 4 La 3.39
Ce 0.5000 0.5000 0.0000  8 Hg 3.32
La 0.5000 0.5000 0.5000  8 Hg 3.39

## Properties
Its formation energy is -0.3909 eV/atom. The theoretical density comes out at 9.73 g/cm3. The calculation puts the uncorrected energy at -13.03 eV per formula unit.

=====

[3]
VASP calculation (GGA-PBE) on InTe2NO after structural relaxation.

a = 4.7448 Å, b = 4.7448 Å, c = 4.2646 Å
α = 90.00°, β = 90.00°, γ = 90.00°
Last column: nearest neighbours and their distance in Å.
Fractional positions:
N 0.0000 0.0000 0.5000  2 O 2.13
Te 0.5000 0.0000 0.0000  2 O 2.37
Te 0.0000 0.5000 0.0000  2 O 2.37
In 0.5000 0.5000 0.5000  8 Te 3.19, 4 N 3.36
O 0.0000 0.0000 0.0000  2 N 2.13, 4 Te 2.37

## Properties
The uncorrected formation energy is 0.97 eV per atom. The theoretical density comes out at 6.92 g/cm3. The calculation puts the uncorrected energy at -17.44 eV per formula unit.

=====

[4]
VASP calculation (GGA-PBE) on CuSn2Pb2 after structural relaxation.

a = 6.8910 Å, b = 6.8910 Å, c = 5.7393 Å
α = 90.00°, β = 90.00°, γ = 90.00°
Last column: nearest neighbours and their distance in Å.
Fractional positions:
Pb 0.3198 0.1802 0.5000  6 Sn 3.30-3.68, 5 Pb 3.51-3.58
Pb 0.1802 0.6802 0.5000  6 Sn 3.30-3.68, 5 Pb 3.51-3.58
Pb 0.6802 0.8198 0.5000  6 Sn 3.30-3.68, 5 Pb 3.51-3.58
Pb 0.8198 0.3198 0.5000  6 Sn 3.30-3.68, 5 Pb 3.51-3.58
Sn 0.3477 0.8477 0.0000  2 Cu 2.62
Sn 0.1523 0.3477 0.0000  2 Cu 2.62
Sn 0.8477 0.6523 0.0000  2 Cu 2.62
Sn 0.6523 0.1523 0.0000  2 Cu 2.62
Cu 0.5000 0.5000 0.0000  4 Sn 2.62
Cu 0.0000 0.0000 0.0000  4 Sn 2.62

## Properties
Its formation energy is 0.1134 eV/atom. The theoretical density comes out at 8.72 g/cm3. The calculation puts the uncorrected energy at -18.95 eV per formula unit.

=====

[5]
VASP calculation (GGA-PBE) on Tb8DyTl2 after structural relaxation.

a = 5.9873 Å, b = 9.1919 Å, c = 7.9149 Å
α = 121.67°, β = 99.23°, γ = 106.03°
Last column: nearest neighbours and their distance in Å.
Fractional positions:
Tb 0.9628 0.2781 0.9017  9 Tb 3.37-3.56, 2 Tl 3.42-3.51, 1 Dy 3.70
Tb 0.5944 0.4627 0.1948  3 Tl 3.37-3.49, 8 Tb 3.38-3.59, 1 Dy 3.51
Tb 0.8643 0.8155 0.7254  7 Tb 3.38-3.61, 3 Tl 3.43-3.46, 2 Dy 3.46-3.47
Tb 0.4056 0.5373 0.8052  3 Tl 3.37-3.49, 8 Tb 3.38-3.59, 1 Dy 3.51
Tb 0.0372 0.7219 0.0983  9 Tb 3.37-3.56, 2 Tl 3.42-3.51, 1 Dy 3.70
Tb 0.3177 0.0798 0.6418  2 Tl 3.36-3.66, 1 Dy 3.38, 9 Tb 3.42-3.61
Tb 0.1357 0.1845 0.2746  7 Tb 3.38-3.61, 3 Tl 3.43-3.46, 2 Dy 3.46-3.47
Tb 0.6823 0.9202 0.3582  2 Tl 3.36-3.66, 1 Dy 3.38, 9 Tb 3.42-3.61
Tl 0.7644 0.3615 0.5438  10 Tb 3.36-3.66, 1 Dy 3.46, 1 Tl 3.67
Tl 0.2356 0.6385 0.4562  10 Tb 3.36-3.66, 1 Dy 3.46, 1 Tl 3.67
Dy 0.5000 0.0000 0.0000  10 Tb 3.38-3.70, 2 Tl 3.46

## Properties
Its formation energy is -0.0859 eV/atom. The theoretical density comes out at 9.26 g/cm3. The calculation puts the uncorrected energy at -47.32 eV per formula unit.

=====

[6]
VASP calculation (GGA-PBE) on Hf4NbIn after structural relaxation.

a = 3.0206 Å, b = 8.5521 Å, c = 5.1721 Å
α = 90.00°, β = 90.00°, γ = 90.00°
Last column: nearest neighbours and their distance in Å.
Fractional positions:
Hf 0.0000 0.8190 0.5000  2 Nb 3.01, 7 Hf 3.02-3.18, 2 In 3.12
Hf 0.5000 0.3055 0.0000  2 Nb 3.02, 7 Hf 3.02-3.33, 2 In 3.07
Hf 0.0000 0.1810 0.5000  2 Nb 3.01, 7 Hf 3.02-3.18, 2 In 3.12
Hf 0.5000 0.6945 0.0000  2 Nb 3.02, 7 Hf 3.02-3.33, 2 In 3.07
In 0.5000 0.5000 0.5000  2 In 3.02, 8 Hf 3.07-3.12
Nb 0.0000 0.0000 0.0000  8 Hf 3.01-3.02, 2 Nb 3.02

## Properties
Its formation energy is 0.1687 eV/atom. The theoretical density comes out at 11.46 g/cm3. The calculation puts the uncorrected energy at -51.61 eV per formula unit.